No. 1
{
  "formula": "K2MgHgTe",
  "functional": "PBE",
  "state": "optimized geometry",
  "lattice": [[-2.772, -5.991, -1.588], [2.031, -2.161, 4.605], [-5.664, 1.742, 3.314]],
  "species": ["Te", "Mg", "K", "K", "Hg"],
  "fractional_positions": [[0.000, 0.500, 0.000], [0.000, 0.000, 0.000], [0.000, 0.000, 0.500], [0.500, 0.000, 0.000], [0.500, 0.500, 0.500]],
  "polymorph_energy_mev_per_atom": 14.6,
  "m_tot_mub_per_cell": 0.0,
  "sg": "P4/mmm, No. 123",
  "raw_formation_energy_mev_per_atom": -188,
  "dos_at_fermi_per_ev_atom": 0.065
}

=====

No. 2
{
  "formula": "Ag6I",
  "functional": "PBE",
  "state": "optimized geometry",
  "lattice": [[-0.061, 6.292, -1.800], [-5.967, -1.741, 2.051], [4.307, -0.838, 4.856]],
  "species": ["Ag", "Ag", "Ag", "Ag", "Ag", "Ag", "I"],
  "fractional_positions": [[0.250, 0.500, 0.750], [0.750, 0.500, 0.250], [0.750, 0.250, 0.500], [0.500, 0.750, 0.250], [0.250, 0.750, 0.500], [0.500, 0.250, 0.750], [0.000, 0.000, 0.000]],
  "m_tot_mub_per_cell": 0.0,
  "sg": "Im-3m, No. 229",
  "raw_formation_energy_mev_per_atom": 631,
  "dos_at_fermi_per_ev_atom": 0.542
}

=====

No. 3
{
  "formula": "RbB2TeW",
  "functional": "PBE",
  "state": "optimized geometry",
  "lattice": [[-4.341, 0.756, 0.011], [-0.979, -5.589, -1.944], [-0.235, -1.409, 4.169]],
  "species": ["Rb", "B", "B", "W", "Te"],
  "fractional_positions": [[0.000, 0.000, 0.000], [0.500, 0.000, 0.000], [0.000, 0.000, 0.500], [0.500, 0.500, 0.500], [0.000, 0.500, 0.000]],
  "m_tot_mub_per_cell": 0.4,
  "sg": "P4/mmm, No. 123",
  "raw_formation_energy_mev_per_atom": 3514,
  "dos_at_fermi_per_ev_atom": 1.665
}

=====

No. 4
{
  "formula": "PAuSe4",
  "functional": "PBE",
  "state": "optimized geometry",
  "lattice": [[0.000, 3.982, 3.982], [3.982, 0.000, 3.982], [3.982, 3.982, 0.000]],
  "species": ["P", "Se", "Se", "Se", "Se", "Au"],
  "fractional_positions": [[0.000, 0.000, 0.000], [0.374, 0.374, 0.877], [0.374, 0.877, 0.374], [0.374, 0.374, 0.374], [0.877, 0.374, 0.374], [0.750, 0.750, 0.750]],
  "m_tot_mub_per_cell": 0.0,
  "sg": "F-43m, No. 216",
  "raw_formation_energy_mev_per_atom": 946,
  "dos_at_fermi_per_ev_atom": 0.687
}

=====

No. 5
{
  "formula": "Co2AsOs",
  "functional": "PBE",
  "state": "optimized geometry",
  "lattice": [[4.383, 0.000, 0.000], [0.000, 4.383, 0.000], [0.000, 0.000, 2.700]],
  "species": ["Os", "Co", "Co", "As"],
  "fractional_positions": [[0.500, 0.000, 0.500], [0.000, 0.000, 0.000], [0.500, 0.500, 0.000], [0.000, 0.500, 0.500]],
  "m_tot_mub_per_cell": 2.2,
  "sg": "P4/mmm, No. 123",
  "e_form_ev_per_atom": 0.353,
  "dos_at_fermi_per_ev_atom": 1.391
}

=====

No. 6
{
  "formula": "Dy2YHo6Sc",
  "functional": "PBE",
  "state": "optimized geometry",
  "lattice": [[2.376, 9.043, 0.756], [-7.475, 1.710, -4.027], [-0.240, -1.244, 8.567]],
  "species": ["Y", "Y", "Ho", "Ho", "Ho", "Ho", "Ho", "Ho", "Ho", "Ho", "Ho", "Ho", "Ho", "Ho", "Sc", "Sc", "Dy", "Dy", "Dy", "Dy"],
  "fractional_positions": [[0.250, 0.979, 0.021], [0.750, 0.021, 0.979], [0.116, 0.709, 0.496], [0.444, 0.248, 0.871], [0.190, 0.566, 0.009], [0.056, 0.129, 0.752], [0.556, 0.752, 0.129], [0.310, 0.991, 0.434], [0.690, 0.009, 0.566], [0.944, 0.871, 0.248], [0.884, 0.291, 0.504], [0.616, 0.496, 0.709], [0.384, 0.504, 0.291], [0.810, 0.434, 0.991], [0.250, 0.413, 0.587], [0.750, 0.587, 0.413], [0.454, 0.799, 0.693], [0.546, 0.201, 0.307], [0.046, 0.307, 0.201], [0.954, 0.693, 0.799]],
  "m_tot_mub_per_cell": 0.0,
  "sg": "C2/c, No. 15",
  "e_form_ev_per_atom": 0.124,
  "dos_at_fermi_per_ev_atom": 1.245
}

=====

No. 7
{
  "formula": "Cs3Mg2Pb4",
  "functional": "PBE",
  "state": "optimized geometry",
  "lattice": [[5.025, 0.000, 0.000], [-2.512, 7.393, 0.307], [0.000, -2.804, 10.861]],
  "species": ["Pb", "Pb", "Pb", "Pb", "Mg", "Mg", "Cs", "Cs", "Cs"],
  "fractional_positions": [[0.886, 0.773, 0.320], [0.283, 0.567, 0.912], [0.717, 0.433, 0.088], [0.114, 0.227, 0.680], [0.333, 0.666, 0.194], [0.667, 0.334, 0.806], [0.000, 0.000, 0.000], [0.385, 0.770, 0.601], [0.615, 0.230, 0.399]],
  "m_tot_mub_per_cell": 0.0,
  "sg": "C2/m, No. 12",
  "e_form_ev_per_atom": -0.110,
  "dos_at_fermi_per_ev_atom": 0.874
}

=====

No. 8
{
  "formula": "Li3CdSi",
  "functional": "PBE",
  "state": "optimized geometry",
  "lattice": [[-4.196, 0.118, -1.529], [-1.044, -3.429, 2.599], [-1.498, 6.787, 4.635]],
  "species": ["Li", "Li", "Li", "Li", "Li", "Li", "Si", "Si", "Cd", "Cd"],
  "fractional_positions": [[0.250, 0.057, 0.114], [0.250, 0.251, 0.501], [0.750, 0.749, 0.499], [0.250, 0.663, 0.327], [0.750, 0.943, 0.886], [0.750, 0.337, 0.673], [0.750, 0.156, 0.313], [0.250, 0.844, 0.687], [0.250, 0.440, 0.881], [0.750, 0.560, 0.119]],
  "polymorph_energy_mev_per_atom": 0.0,
  "m_tot_mub_per_cell": 0.0,
  "sg": "P2_1/m, No. 11",
  "raw_formation_energy_mev_per_atom": -245,
  "dos_at_fermi_per_ev_atom": 0.241
}

=====

No. 9
{
  "formula": "KTe2PbI",
  "functional": "PBE",
  "state": "optimized geometry",
  "lattice": [[-1.803, 2.681, 5.061], [3.774, -3.435, 3.164], [4.416, 4.235, -0.670]],
  "species": ["K", "I", "Pb", "Te", "Te"],
  "fractional_positions": [[0.000, 0.000, 0.000], [0.000, 0.000, 0.500], [0.500, 0.500, 0.500], [0.500, 0.000, 0.000], [0.000, 0.500, 0.000]],
  "polymorph_energy_mev_per_atom": 681.1,
  "m_tot_mub_per_cell": 0.0,
  "sg": "P4/mmm, No. 123",
  "raw_formation_energy_mev_per_atom": 366,
  "dos_at_fermi_per_ev_atom": 1.385
}

=====

No. 10
{
  "formula": "SrCa3Hg",
  "functional": "PBE",
  "state": "optimized geometry",
  "lattice": [[6.003, 0.000, 0.000], [0.000, 6.003, 0.000], [0.000, 0.000, 6.003]],
  "species": ["Ca", "Ca", "Ca", "Hg", "Sr"],
  "fractional_positions": [[0.000, 0.000, 0.500], [0.000, 0.500, 0.000], [0.500, 0.000, 0.000], [0.000, 0.000, 0.000], [0.500, 0.500, 0.500]],
  "polymorph_energy_mev_per_atom": 78.2,
  "m_tot_mub_per_cell": 0.0,
  "sg": "Pm-3m, No. 221",
  "e_form_ev_per_atom": -0.145,
  "dos_at_fermi_per_ev_atom": 1.345
}

=====

No. 11
{
  "formula": "LiAl",
  "functional": "PBE",
  "state": "optimized geometry",
  "lattice": [[3.327, 2.927, -0.454], [-3.416, 0.913, 2.710], [4.197, -3.753, 6.556]],
  "species": ["Li", "Li", "Li", "Li", "Al", "Al", "Al", "Al"],
  "fractional_positions": [[0.333, 0.667, 0.418], [0.667, 0.333, 0.918], [0.667, 0.333, 0.582], [0.333, 0.667, 0.082], [0.000, 0.000, 0.250], [0.667, 0.333, 0.250], [0.333, 0.667, 0.750], [0.000, 0.000, 0.750]],
  "m_tot_mub_per_cell": 0.0,
  "sg": "P6_3/mmc, No. 194",
  "e_form_ev_per_atom": -0.094,
  "dos_at_fermi_per_ev_atom": 0.173
}

=====

No. 12
{
  "formula": "DySb3Rh5",
  "functional": "PBE",
  "state": "optimized geometry",
  "lattice": [[-2.932, -0.323, 2.673], [5.016, -4.824, 1.955], [5.854, 9.137, 7.525]],
  "species": ["Sb", "Sb", "Sb", "Sb", "Sb", "Sb", "Dy", "Dy", "Rh", "Rh", "Rh", "Rh", "Rh", "Rh", "Rh", "Rh", "Rh", "Rh"],
  "fractional_positions": [[0.379, 0.757, 0.542], [0.865, 0.731, 0.250], [0.621, 0.243, 0.042], [0.135, 0.269, 0.750], [0.621, 0.243, 0.458], [0.379, 0.757, 0.958], [0.086, 0.173, 0.250], [0.914, 0.827, 0.750], [0.456, 0.912, 0.146], [0.196, 0.393, 0.566], [0.804, 0.607, 0.066], [0.804, 0.607, 0.434], [0.544, 0.088, 0.854], [0.456, 0.912, 0.354], [0.544, 0.088, 0.646], [0.196, 0.393, 0.934], [0.000, 0.000, 0.500], [0.000, 0.000, 0.000]],
  "m_tot_mub_per_cell": 0.0,
  "sg": "Cmcm, No. 63",
  "raw_formation_energy_mev_per_atom": -494,
  "dos_at_fermi_per_ev_atom": 0.456
}

=====

No. 13
{
  "formula": "Cu3Au2",
  "functional": "PBE",
  "state": "optimized geometry",
  "lattice": [[-2.999, 2.636, 1.537], [-0.675, -4.225, -0.027], [2.124, -0.370, 4.781]],
  "species": ["Au", "Au", "Cu", "Cu", "Cu"],
  "fractional_positions": [[0.333, 0.667, 0.835], [0.667, 0.333, 0.165], [0.000, 0.000, 0.000], [0.667, 0.333, 0.649], [0.333, 0.667, 0.351]],
  "polymorph_energy_mev_per_atom": 181.8,
  "m_tot_mub_per_cell": 0.0,
  "sg": "P-3m1, No. 164",
  "e_form_ev_per_atom": 0.153,
  "dos_at_fermi_per_ev_atom": 0.296
}

=====

No. 14
{
  "formula": "TeMoBr2",
  "functional": "PBE",
  "state": "optimized geometry",
  "lattice": [[-3.860, -0.629, -0.775], [-2.590, -0.446, 2.998], [-1.322, 8.760, 0.022]],
  "species": ["Te", "Br", "Br", "Mo"],
  "fractional_positions": [[0.125, 0.125, 0.327], [0.798, 0.798, 0.662], [0.116, 0.116, 0.030], [0.461, 0.461, 0.481]],
  "polymorph_energy_mev_per_atom": 191.8,
  "m_tot_mub_per_cell": 2.0,
  "sg": "Cm, No. 8",
  "raw_formation_energy_mev_per_atom": -19
}

=====

No. 15
{
  "formula": "ErTmZnIn",
  "functional": "PBE",
  "state": "optimized geometry",
  "lattice": [[3.598, 0.000, 0.000], [0.000, 3.598, 0.000], [0.000, 0.000, 7.363]],
  "species": ["Tm", "Zn", "In", "Er"],
  "fractional_positions": [[0.000, 0.000, 0.377], [0.500, 0.500, 0.605], [0.500, 0.500, 0.109], [0.000, 0.000, 0.837]],
  "polymorph_energy_mev_per_atom": 0.0,
  "m_tot_mub_per_cell": 0.0,
  "sg": "P4mm, No. 99",
  "e_form_ev_per_atom": -0.406,
  "dos_at_fermi_per_ev_atom": 0.801
}

=====

No. 16
{
  "formula": "AlAg2Br",
  "functional": "PBE",
  "state": "optimized geometry",
  "lattice": [[-2.630, -2.112, -0.116], [2.291, -0.228, -2.468], [4.293, -5.592, 4.501]],
  "species": ["Br", "Ag", "Ag", "Al"],
  "fractional_positions": [[0.500, 0.500, 0.750], [0.000, 0.000, 0.016], [0.000, 0.000, 0.484], [0.500, 0.500, 0.250]],
  "polymorph_energy_mev_per_atom": 82.4,
  "m_tot_mub_per_cell": 0.0,
  "sg": "Cmmm, No. 65",
  "raw_formation_energy_mev_per_atom": 64,
  "dos_at_fermi_per_ev_atom": 0.160
}

=====

No. 17
{
  "formula": "DyTlZnAg",
  "functional": "PBE",
  "state": "optimized geometry",
  "lattice": [[4.970, 0.000, 0.000], [2.485, 4.304, 0.000], [2.485, 1.435, 4.058]],
  "species": ["Zn", "Tl", "Ag", "Dy"],
  "fractional_positions": [[0.750, 0.750, 0.750], [0.500, 0.500, 0.500], [0.250, 0.250, 0.250], [0.000, 0.000, 0.000]],
  "m_tot_mub_per_cell": 0.0,
  "sg": "F-43m, No. 216",
  "e_form_ev_per_atom": -0.195,
  "dos_at_fermi_per_ev_atom": 0.546
}

=====

No. 18
{
  "formula": "Zr3SbSe",
  "functional": "PBE",
  "state": "optimized geometry",
  "lattice": [[4.993, 0.000, 0.000], [0.000, 4.993, 0.000], [0.000, 0.000, 4.993]],
  "species": ["Sb", "Se", "Zr", "Zr", "Zr"],
  "fractional_positions": [[0.500, 0.500, 0.500], [0.000, 0.000, 0.000], [0.000, 0.500, 0.000], [0.000, 0.000, 0.500], [0.500, 0.000, 0.000]],
  "polymorph_energy_mev_per_atom": 454.1,
  "m_tot_mub_per_cell": 0.0,
  "sg": "Pm-3m, No. 221",
  "raw_formation_energy_mev_per_atom": -127,
  "dos_at_fermi_per_ev_atom": 1.548
}

=====

No. 19
{
  "formula": "Ac6Pd2PtI3",
  "functional": "PBE",
  "state": "optimized geometry",
  "lattice": [[-7.547, 1.856, -0.119], [2.458, -6.505, -3.473], [0.503, -2.834, 8.564]],
  "species": ["Ac", "Ac", "Ac", "Ac", "Ac", "Ac", "Pd", "Pd", "I", "I", "I", "Pt"],
  "fractional_positions": [[0.062, 0.392, 0.186], [0.732, 0.732, 0.186], [0.268, 0.268, 0.814], [0.392, 0.062, 0.186], [0.608, 0.938, 0.814], [0.938, 0.608, 0.814], [0.667, 0.333, 0.000], [0.333, 0.667, 0.000], [0.167, 0.833, 0.500], [0.500, 0.500, 0.500], [0.833, 0.167, 0.500], [0.000, 0.000, 0.000]],
  "m_tot_mub_per_cell": 0.0,
  "sg": "C2/m, No. 12",
  "raw_formation_energy_mev_per_atom": -1058,
  "dos_at_fermi_per_ev_atom": 0.497
}

=====

No. 20
{
  "formula": "Tb8TcNi2",
  "functional": "PBE",
  "state": "optimized geometry",
  "lattice": [[5.747, 0.087, -0.946], [-1.899, 6.683, -2.954], [-0.065, -0.243, 7.545]],
  "species": ["Tb", "Tb", "Tb", "Tb", "Tb", "Tb", "Tb", "Tb", "Tc", "Ni", "Ni"],
  "fractional_positions": [[0.580, 0.334, 0.082], [0.390, 0.669, 0.922], [0.390, 0.922, 0.669], [0.172, 0.366, 0.366], [0.819, 0.644, 0.644], [0.991, 0.784, 0.215], [0.991, 0.215, 0.784], [0.580, 0.082, 0.334], [0.096, 0.008, 0.008], [0.495, 0.700, 0.310], [0.495, 0.310, 0.700]],
  "polymorph_energy_mev_per_atom": 68.6,
  "m_tot_mub_per_cell": 0.0,
  "sg": "Cm, No. 8",
  "e_form_ev_per_atom": -0.075,
  "dos_at_fermi_per_ev_atom": 1.038
}